# NaV2InCl (GGA-PBE, optimized geometry)
# crystal system	tetragonal
# size of the total moment	8.28	Bohr magnetons per cell
# raw formation energy	1.46	eV per atom
# electronic total energy	-3.370	eV/atom
data_NaV2InCl
_chemical_formula_sum 'Na1 V2 In1 Cl1'
_space_group_name_H-M_alt 'P 1'
_space_group_IT_number 1
_cell_length_a 5.2050
_cell_length_b 5.2050
_cell_length_c 5.4852
_cell_angle_alpha 90.00
_cell_angle_beta 90.00
_cell_angle_gamma 90.00
loop_
_space_group_symop_operation_xyz
'x,y,z'
loop_
_atom_site_label
_atom_site_type_symbol
_atom_site_fract_x
_atom_site_fract_y
_atom_site_fract_z
Na1 Na 0.0000 0.0000 0.0000
V1 V 0.0000 0.5000 0.0000
V2 V 0.5000 0.0000 0.0000
In1 In 0.0000 0.0000 0.5000
Cl1 Cl 0.5000 0.5000 0.5000